1.
First-principles (PBE) data for a relaxed structure of Er3TmNi2, as listed in Alexandria via LeMat-Bulk.

Lattice parameters (Å, degrees): 3.837 8.178 9.743 76.88 78.64 76.43
Positions (direct):
Er (0.155, 0.936, 0.755)
Er (0.845, 0.064, 0.245)
Er (0.418, 0.225, 0.940)
Er (0.582, 0.775, 0.060)
Er (0.582, 0.277, 0.560)
Er (0.418, 0.723, 0.440)
Tm (0.845, 0.564, 0.746)
Tm (0.155, 0.436, 0.254)
Ni (0.231, 0.589, 0.949)
Ni (0.769, 0.411, 0.051)
Ni (0.769, 0.911, 0.551)
Ni (0.231, 0.089, 0.449)

Results
- energy of formation (meV per atom) = -319
- theoretical density (kg/m³) = 9147
- N(E_F) (states/eV/f.u.) = 6.5
- E_tot (eV per atom) = -5.27
- excess energy over the best structure of this formula in the dataset (meV/atom) = 0



2.
First-principles (PBE) data for a relaxed structure of Er4TmNi, as listed in Alexandria via LeMat-Bulk.

Lattice parameters (Å, degrees): 5.965 9.370 7.737 117.87 99.70 110.99
Positions (direct):
Er (0.037, 0.161, 0.801)
Er (0.775, 0.722, 0.661)
Er (0.264, 0.640, 0.801)
Er (0.386, 0.939, 0.661)
Er (0.614, 0.061, 0.339)
Er (0.736, 0.360, 0.199)
Er (0.225, 0.278, 0.339)
Er (0.963, 0.839, 0.199)
Tm (0.350, 0.600, 0.200)
Tm (0.650, 0.400, 0.800)
Ni (0.251, 0.001, 0.002)
Ni (0.749, 0.999, 0.998)

Results
- energy of formation (meV per atom) = -64
- theoretical density (kg/m³) = 9135
- N(E_F) (states/eV/f.u.) = 6.9
- E_tot (eV per atom) = -4.81



3.
First-principles (PBE) data for a relaxed structure of Er12TmNi6, as listed in Alexandria via LeMat-Bulk.

Lattice parameters (Å, degrees): 8.435 8.435 8.435 109.47 109.47 109.47
Positions (direct):
Er (0.310, 0.126, 0.816)
Er (0.310, 0.494, 0.184)
Er (0.690, 0.506, 0.816)
Er (0.690, 0.874, 0.184)
Er (0.126, 0.816, 0.310)
Er (0.494, 0.184, 0.310)
Er (0.506, 0.816, 0.690)
Er (0.874, 0.184, 0.690)
Er (0.816, 0.310, 0.126)
Er (0.184, 0.310, 0.494)
Er (0.816, 0.690, 0.506)
Er (0.184, 0.690, 0.874)
Tm (0.000, 0.000, 0.000)
Ni (0.376, 0.500, 0.876)
Ni (0.624, 0.500, 0.124)
Ni (0.500, 0.876, 0.376)
Ni (0.500, 0.124, 0.624)
Ni (0.876, 0.376, 0.500)
Ni (0.124, 0.624, 0.500)

Results
- energy of formation (meV per atom) = -257
- theoretical density (kg/m³) = 9088
- N(E_F) (states/eV/f.u.) = 22.6
- E_tot (eV per atom) = -5.20



4.
First-principles (PBE) data for a relaxed structure of ErTm4Ni4, as listed in Alexandria via LeMat-Bulk.

Lattice parameters (Å, degrees): 5.491 8.463 8.463 90.00 90.00 90.00
Positions (direct):
Er (0.000, 0.000, 0.000)
Er (0.500, 0.500, 0.500)
Tm (0.398, 0.318, 0.914)
Tm (0.898, 0.586, 0.818)
Tm (0.398, 0.682, 0.086)
Tm (0.102, 0.182, 0.586)
Tm (0.602, 0.914, 0.682)
Tm (0.102, 0.818, 0.414)
Tm (0.898, 0.414, 0.182)
Tm (0.602, 0.086, 0.318)
Ni (0.613, 0.775, 0.367)
Ni (0.613, 0.225, 0.633)
Ni (0.113, 0.867, 0.725)
Ni (0.887, 0.275, 0.867)
Ni (0.887, 0.725, 0.133)
Ni (0.387, 0.367, 0.225)
Ni (0.387, 0.633, 0.775)
Ni (0.113, 0.133, 0.275)

Results
- energy of formation (meV per atom) = -299
- theoretical density (kg/m³) = 9101
- N(E_F) (states/eV/f.u.) = 6.3
- E_tot (eV per atom) = -5.36



5.
First-principles (PBE) data for a relaxed structure of ErTm5Ni2, as listed in Alexandria via LeMat-Bulk.

Lattice parameters (Å, degrees): 3.810 8.643 8.643 48.69 77.27 77.27
Positions (direct):
Er (0.000, 0.000, 0.000)
Tm (0.000, 0.500, 0.500)
Tm (0.656, 0.597, 0.092)
Tm (0.344, 0.403, 0.908)
Tm (0.344, 0.908, 0.403)
Tm (0.656, 0.092, 0.597)
Ni (0.805, 0.695, 0.695)
Ni (0.195, 0.305, 0.305)

Results
- energy of formation (meV per atom) = -154
- theoretical density (kg/m³) = 9040
- N(E_F) (states/eV/f.u.) = 8.7
- E_tot (eV per atom) = -4.96
- excess energy over the best structure of this formula in the dataset (meV/atom) = 26



6.
First-principles (PBE) data for a relaxed structure of ErTm7Ni2, as listed in Alexandria via LeMat-Bulk.

Lattice parameters (Å, degrees): 5.031 8.040 8.040 113.85 90.00 90.00
Positions (direct):
Er (0.000, 0.000, 0.000)
Tm (0.000, 0.704, 0.296)
Tm (0.000, 0.296, 0.704)
Tm (0.500, 0.058, 0.325)
Tm (0.500, 0.942, 0.675)
Tm (0.500, 0.325, 0.058)
Tm (0.500, 0.675, 0.942)
Tm (0.500, 0.500, 0.500)
Ni (0.500, 0.704, 0.296)
Ni (0.500, 0.296, 0.704)

Results
- energy of formation (meV per atom) = 58
- theoretical density (kg/m³) = 8190
- N(E_F) (states/eV/f.u.) = 15.6
- E_tot (eV per atom) = -4.68



7.
First-principles (PBE) data for a relaxed structure of Er4TmNi4, as listed in Alexandria via LeMat-Bulk.

Lattice parameters (Å, degrees): 5.533 8.452 8.452 90.00 90.00 90.00
Positions (direct):
Er (0.398, 0.315, 0.915)
Er (0.898, 0.585, 0.815)
Er (0.398, 0.685, 0.085)
Er (0.102, 0.185, 0.585)
Er (0.602, 0.915, 0.685)
Er (0.102, 0.815, 0.415)
Er (0.898, 0.415, 0.185)
Er (0.602, 0.085, 0.315)
Tm (0.000, 0.000, 0.000)
Tm (0.500, 0.500, 0.500)
Ni (0.615, 0.773, 0.368)
Ni (0.615, 0.227, 0.632)
Ni (0.115, 0.868, 0.727)
Ni (0.885, 0.273, 0.868)
Ni (0.885, 0.727, 0.132)
Ni (0.385, 0.368, 0.227)
Ni (0.385, 0.632, 0.773)
Ni (0.115, 0.132, 0.273)

Results
- energy of formation (meV per atom) = -292
- theoretical density (kg/m³) = 9013
- N(E_F) (states/eV/f.u.) = 6.5
- E_tot (eV per atom) = -5.39



8.
First-principles (PBE) data for a relaxed structure of ErTm6Ni4, as listed in Alexandria via LeMat-Bulk.

Lattice parameters (Å, degrees): 7.160 7.160 7.160 86.51 122.04 122.04
Positions (direct):
Er (0.000, 0.000, 0.000)
Tm (0.000, 0.905, 0.544)
Tm (0.000, 0.544, 0.905)
Tm (0.640, 0.095, 0.095)
Tm (0.500, 0.000, 0.500)
Tm (0.360, 0.456, 0.456)
Tm (0.500, 0.500, 0.000)
Ni (0.000, 0.283, 0.598)
Ni (0.685, 0.402, 0.402)
Ni (0.000, 0.598, 0.283)
Ni (0.315, 0.717, 0.717)

Results
- energy of formation (meV per atom) = -295
- theoretical density (kg/m³) = 9364
- N(E_F) (states/eV/f.u.) = 11.1
- E_tot (eV per atom) = -5.25



9.
First-principles (PBE) data for a relaxed structure of ErTm3Ni3, as listed in Alexandria via LeMat-Bulk.

Lattice parameters (Å, degrees): 6.641 6.641 6.728 91.01 91.01 96.46
Positions (direct):
Er (0.743, 0.743, 0.879)
Er (0.257, 0.257, 0.121)
Tm (0.664, 0.664, 0.374)
Tm (0.176, 0.824, 0.500)
Tm (0.824, 0.176, 0.500)
Tm (0.249, 0.751, 0.000)
Tm (0.751, 0.249, 0.000)
Tm (0.336, 0.336, 0.626)
Ni (0.942, 0.942, 0.187)
Ni (0.986, 0.496, 0.712)
Ni (0.496, 0.986, 0.712)
Ni (0.014, 0.504, 0.288)
Ni (0.504, 0.014, 0.288)
Ni (0.058, 0.058, 0.813)

Results
- energy of formation (meV per atom) = -337
- theoretical density (kg/m³) = 9579
- N(E_F) (states/eV/f.u.) = 5.4
- E_tot (eV per atom) = -5.38



10.
First-principles (PBE) data for a relaxed structure of ErTmNi2, as listed in Alexandria via LeMat-Bulk.

Lattice parameters (Å, degrees): 4.720 4.720 4.720 60.00 60.00 60.00
Positions (direct):
Ni (0.250, 0.250, 0.250)
Ni (0.750, 0.750, 0.750)
Tm (0.500, 0.500, 0.500)
Er (0.000, 0.000, 0.000)

Results
- energy of formation (meV per atom) = -444
- theoretical density (kg/m³) = 10127
- N(E_F) (states/eV/f.u.) = 3.7
- E_tot (eV per atom) = -5.59
- excess energy over the best structure of this formula in the dataset (meV/atom) = 52



11.
First-principles (PBE) data for a relaxed structure of Er4Tm3Ni2, as listed in Alexandria via LeMat-Bulk.

Lattice parameters (Å, degrees): 3.539 8.894 8.324 112.44 102.27 90.00
Positions (direct):
Er (0.231, 0.654, 0.462)
Er (0.769, 0.346, 0.538)
Er (0.636, 0.895, 0.271)
Er (0.364, 0.105, 0.729)
Tm (0.069, 0.187, 0.138)
Tm (0.931, 0.813, 0.862)
Tm (0.000, 0.500, 0.000)
Ni (0.382, 0.562, 0.764)
Ni (0.618, 0.438, 0.236)

Results
- energy of formation (meV per atom) = -186
- theoretical density (kg/m³) = 9112
- N(E_F) (states/eV/f.u.) = 11.3
- E_tot (eV per atom) = -4.99



12.
First-principles (PBE) data for a relaxed structure of ErTmNi4, as listed in Alexandria via LeMat-Bulk.

Lattice parameters (Å, degrees): 5.031 5.031 5.031 60.00 60.00 60.00
Positions (direct):
Ni (0.625, 0.625, 0.125)
Ni (0.625, 0.125, 0.625)
Ni (0.625, 0.625, 0.625)
Ni (0.125, 0.625, 0.625)
Tm (0.250, 0.250, 0.250)
Er (0.000, 0.000, 0.000)

Results
- energy of formation (meV per atom) = -488
- theoretical density (kg/m³) = 10530
- N(E_F) (states/eV/f.u.) = 3.7
- E_tot (eV per atom) = -5.85



> Which of these has the lowest E_tot?

ErTmNi4



Please write out number 3 again, unchanged.
First-principles (PBE) data for a relaxed structure of Er12TmNi6, as listed in Alexandria via LeMat-Bulk.

Lattice parameters (Å, degrees): 8.435 8.435 8.435 109.47 109.47 109.47
Positions (direct):
Er (0.310, 0.126, 0.816)
Er (0.310, 0.494, 0.184)
Er (0.690, 0.506, 0.816)
Er (0.690, 0.874, 0.184)
Er (0.126, 0.816, 0.310)
Er (0.494, 0.184, 0.310)
Er (0.506, 0.816, 0.690)
Er (0.874, 0.184, 0.690)
Er (0.816, 0.310, 0.126)
Er (0.184, 0.310, 0.494)
Er (0.816, 0.690, 0.506)
Er (0.184, 0.690, 0.874)
Tm (0.000, 0.000, 0.000)
Ni (0.376, 0.500, 0.876)
Ni (0.624, 0.500, 0.124)
Ni (0.500, 0.876, 0.376)
Ni (0.500, 0.124, 0.624)
Ni (0.876, 0.376, 0.500)
Ni (0.124, 0.624, 0.500)

Results
- energy of formation (meV per atom) = -257
- theoretical density (kg/m³) = 9088
- N(E_F) (states/eV/f.u.) = 22.6
- E_tot (eV per atom) = -5.20